1.
A geometry-optimized Ho4IrCl5 structure, computed with GGA-PBE.

Total DFT energy (no corrections): -53.46 eV per formula unit
Spin magnetization: 0.00 μB/cell
Space-group type: No. 12
Uncorrected formation energy: -1.71 eV per atom

a b c (Å): 3.8818 8.2840 9.6349
angles (deg): 98.00 101.62 90.00
Closest atoms and distances in Å follow each position.
Fractional coordinates of all 10 atoms:
Ho (0.3526, 0.9425, 0.7051)  5 Cl 2.75-3.04, 1 Ir 2.76
Ho (0.6474, 0.0575, 0.2949)  5 Cl 2.75-3.04, 1 Ir 2.76
Cl (0.8379, 0.7055, 0.6758)  3 Ho 2.75-2.89
Cl (0.8092, 0.1436, 0.6184)  3 Ho 2.76-3.04
Cl (0.1908, 0.8564, 0.3816)  3 Ho 2.76-3.04
Cl (0.1621, 0.2945, 0.3242)  3 Ho 2.75-2.89
Ho (0.9925, 0.7761, 0.9850)  2 Ir 2.67, 1 Cl 2.89
Ho (0.0075, 0.2239, 0.0150)  2 Ir 2.67, 1 Cl 2.89
Ir (0.5000, 0.0000, 0.0000)  6 Ho 2.67-2.76
Cl (0.5000, 0.5000, 0.0000)  4 Ho 3.02



2.
A geometry-optimized HoIrCl structure, computed with GGA-PBE.

Total DFT energy (no corrections): -18.66 eV per formula unit
Spin magnetization: 0.00 μB/cell
Space-group type: No. 12
Uncorrected formation energy: -1.12 eV per atom

a b c (Å): 3.9587 3.9615 11.9072
angles (deg): 90.27 80.43 60.02
Closest atoms and distances in Å follow each position.
Fractional coordinates of all 6 atoms:
Ir (0.1937, 0.6528, 0.9598)  3 Ir 2.47
Ho (0.9719, 0.2618, 0.7944)  3 Cl 2.81, 4 Ir 2.87-2.99
Cl (0.7335, 0.8786, 0.6543)  3 Ho 2.81
Ir (0.8063, 0.3472, 0.0402)  3 Ir 2.47
Ho (0.0281, 0.7382, 0.2056)  3 Cl 2.81, 4 Ir 2.87-2.99
Cl (0.2665, 0.1214, 0.3457)  3 Ho 2.81



3.
A geometry-optimized Ho3IrCl2O6 structure, computed with GGA-PBE.

Total DFT energy (no corrections): -81.51 eV per formula unit
Spin magnetization: 2.03 μB/cell
Space-group type: No. 12
Uncorrected formation energy: -2.12 eV per atom

a b c (Å): 5.4913 6.4935 6.5170
angles (deg): 119.88 81.82 90.00
Closest atoms and distances in Å follow each position.
Fractional coordinates of all 12 atoms:
Ho (0.0000, 0.5000, 0.0000)  4 O 2.36, 2 Cl 2.62
O (0.2957, 0.1816, 0.8841)  1 Ir 2.09, 1 Ho 2.27
O (0.3261, 0.1690, 0.3381)  1 Ir 1.99, 2 Ho 2.16
O (0.6739, 0.8310, 0.6619)  1 Ir 1.99, 2 Ho 2.16
Ho (0.5000, 0.0000, 0.5000)  4 O 2.16-2.27
O (0.7043, 0.8184, 0.1159)  1 Ir 2.09, 1 Ho 2.27
Cl (0.1458, 0.7095, 0.4191)  3 Ho 2.62-2.63, 1 O 2.73
O (0.2957, 0.7025, 0.8841)  1 Ir 2.09, 1 Ho 2.27
Cl (0.8542, 0.2905, 0.5809)  3 Ho 2.62-2.63, 1 O 2.73
Ir (0.5000, 0.0000, 0.0000)  6 O 1.99-2.09
O (0.7043, 0.2975, 0.1159)  1 Ir 2.09, 1 Ho 2.27
Ho (0.5000, 0.5000, 0.5000)  4 O 2.16-2.27



4.
A geometry-optimized KHo2Cl7 structure, computed with GGA-PBE.

Total DFT energy (no corrections): -45.60 eV per formula unit
Spin magnetization: 0.00 μB/cell
Space-group type: No. 14
Uncorrected formation energy: -2.24 eV per atom

a b c (Å): 12.5695 6.9369 13.5299
angles (deg): 92.05 90.00 90.00
Closest atoms and distances in Å follow each position.
Fractional coordinates of all 40 atoms:
Cl (0.0285, 0.0661, 0.8676)  2 Ho 2.71-2.73
Cl (0.9306, 0.9749, 0.3744)  2 Ho 2.70
Cl (0.5694, 0.9749, 0.8744)  2 Ho 2.70
Cl (0.1747, 0.4835, 0.3327)  2 Ho 2.68-2.70
K (0.7139, 0.2012, 0.4762)  7 Cl 3.28-3.61
Cl (0.1860, 0.2482, 0.1125)  2 Ho 2.73-2.75
Cl (0.3140, 0.2482, 0.6125)  2 Ho 2.73-2.75
Cl (0.4405, 0.5489, 0.3710)  2 Ho 2.70-2.72
Ho (0.3390, 0.2790, 0.2549)  7 Cl 2.69-2.73
K (0.2139, 0.7988, 0.0238)  7 Cl 3.28-3.61
Cl (0.5950, 0.4542, 0.8707)  2 Ho 2.69-2.72
Cl (0.6860, 0.7518, 0.3875)  2 Ho 2.73-2.75
Cl (0.8253, 0.5165, 0.6673)  2 Ho 2.68-2.70
Cl (0.4306, 0.0251, 0.1256)  2 Ho 2.70
Ho (0.5357, 0.7782, 0.2408)  7 Cl 2.68-2.75
Cl (0.0694, 0.0251, 0.6256)  2 Ho 2.70
Cl (0.9050, 0.4542, 0.3707)  2 Ho 2.69-2.72
Ho (0.1610, 0.2790, 0.7549)  7 Cl 2.69-2.73
Cl (0.4050, 0.5458, 0.1293)  2 Ho 2.69-2.72
Cl (0.7029, 0.9950, 0.1807)  2 Ho 2.72
Cl (0.6747, 0.5165, 0.1673)  2 Ho 2.68-2.70
Cl (0.8140, 0.7518, 0.8875)  2 Ho 2.73-2.75
Ho (0.8390, 0.7210, 0.2451)  7 Cl 2.69-2.73
Cl (0.3253, 0.4835, 0.8327)  2 Ho 2.68-2.70
Ho (0.0357, 0.2218, 0.2592)  7 Cl 2.68-2.75
Ho (0.4643, 0.2218, 0.7592)  7 Cl 2.68-2.75
Cl (0.5595, 0.4511, 0.6290)  2 Ho 2.70-2.72
Cl (0.5285, 0.9339, 0.6324)  2 Ho 2.71-2.73
Cl (0.9405, 0.4511, 0.1290)  2 Ho 2.70-2.72
Cl (0.2029, 0.0050, 0.3193)  2 Ho 2.72
Cl (0.7971, 0.9950, 0.6807)  2 Ho 2.72
Cl (0.0950, 0.5458, 0.6293)  2 Ho 2.69-2.72
Cl (0.9715, 0.9339, 0.1324)  2 Ho 2.71-2.73
Cl (0.2971, 0.0050, 0.8193)  2 Ho 2.72
K (0.7861, 0.2012, 0.9762)  7 Cl 3.28-3.61
K (0.2861, 0.7988, 0.5238)  7 Cl 3.28-3.61
Ho (0.9643, 0.7782, 0.7408)  7 Cl 2.68-2.75
Cl (0.0595, 0.5489, 0.8710)  2 Ho 2.70-2.72
Cl (0.4715, 0.0661, 0.3676)  2 Ho 2.71-2.73
Ho (0.6610, 0.7210, 0.7451)  7 Cl 2.69-2.73



5.
A geometry-optimized KHo2Cl8 structure, computed with GGA-PBE.

Total DFT energy (no corrections): -46.30 eV per formula unit
Spin magnetization: 1.10 μB/cell
Space-group type: No. 12
Uncorrected formation energy: -1.93 eV per atom

a b c (Å): 7.9834 6.9476 6.9476
angles (deg): 73.97 79.98 79.98
Closest atoms and distances in Å follow each position.
Fractional coordinates of all 11 atoms:
Ho (0.5395, 0.6777, 0.6777)  7 Cl 2.61-2.75
Cl (0.1957, 0.2201, 0.2201)  1 Ho 2.61
Cl (0.7147, 0.4404, 0.4404)  2 Ho 2.64-2.70
Cl (0.6618, 0.3382, 0.9556)  2 Ho 2.75
Cl (0.6618, 0.9556, 0.3382)  2 Ho 2.75
Cl (0.8043, 0.7799, 0.7799)  1 Ho 2.61
Cl (0.2853, 0.5596, 0.5596)  2 Ho 2.64-2.70
Ho (0.4605, 0.3223, 0.3223)  7 Cl 2.61-2.75
Cl (0.3382, 0.6618, 0.0444)  2 Ho 2.75
Cl (0.3382, 0.0444, 0.6618)  2 Ho 2.75
K (0.0000, 0.0000, 0.0000)  6 Cl 3.17-3.25



6.
A geometry-optimized K2HoCl5 structure, computed with GGA-PBE.

Total DFT energy (no corrections): -33.29 eV per formula unit
Spin magnetization: 0.00 μB/cell
Space-group type: No. 62
Uncorrected formation energy: -2.16 eV per atom

a b c (Å): 8.0781 8.5932 12.9185
angles (deg): 90.00 90.00 90.00
Closest atoms and distances in Å follow each position.
Fractional coordinates of all 32 atoms:
Cl (0.0920, 0.2500, 0.4878)  1 Ho 2.71
Cl (0.1111, 0.7500, 0.1765)  1 Ho 2.67
K (0.5585, 0.0047, 0.8288)  8 Cl 3.18-3.48
Cl (0.6517, 0.7500, 0.3041)  1 Ho 2.67
Cl (0.6624, 0.0436, 0.5699)  2 Ho 2.76-2.77
K (0.5585, 0.4953, 0.8288)  8 Cl 3.18-3.48
Cl (0.9080, 0.7500, 0.5122)  1 Ho 2.71
Cl (0.1624, 0.9564, 0.9301)  2 Ho 2.76-2.77
Ho (0.9272, 0.7500, 0.0047)  7 Cl 2.67-2.77
Cl (0.8376, 0.0436, 0.0699)  2 Ho 2.76-2.77
K (0.9415, 0.4953, 0.3288)  8 Cl 3.18-3.48
Cl (0.3889, 0.7500, 0.6765)  1 Ho 2.67
Cl (0.8376, 0.4564, 0.0699)  2 Ho 2.76-2.77
Cl (0.3376, 0.5436, 0.4301)  2 Ho 2.76-2.77
K (0.9415, 0.0047, 0.3288)  8 Cl 3.18-3.48
Cl (0.3483, 0.2500, 0.6959)  1 Ho 2.67
Ho (0.5728, 0.7500, 0.5047)  7 Cl 2.67-2.77
Cl (0.6111, 0.2500, 0.3235)  1 Ho 2.67
Cl (0.1517, 0.2500, 0.1959)  1 Ho 2.67
K (0.4415, 0.9953, 0.1712)  8 Cl 3.18-3.48
Cl (0.4080, 0.2500, 0.9878)  1 Ho 2.71
Cl (0.8889, 0.2500, 0.8235)  1 Ho 2.67
Ho (0.0728, 0.2500, 0.9953)  7 Cl 2.67-2.77
Cl (0.3376, 0.9564, 0.4301)  2 Ho 2.76-2.77
Ho (0.4272, 0.2500, 0.4953)  7 Cl 2.67-2.77
Cl (0.5920, 0.7500, 0.0122)  1 Ho 2.71
K (0.0585, 0.5047, 0.6712)  8 Cl 3.18-3.48
Cl (0.1624, 0.5436, 0.9301)  2 Ho 2.76-2.77
Cl (0.8483, 0.7500, 0.8041)  1 Ho 2.67
K (0.0585, 0.9953, 0.6712)  8 Cl 3.18-3.48
K (0.4415, 0.5047, 0.1712)  8 Cl 3.18-3.48
Cl (0.6624, 0.4564, 0.5699)  2 Ho 2.76-2.77



7.
A geometry-optimized K2HoCl5 structure, computed with GGA-PBE.

Total DFT energy (no corrections): -33.09 eV per formula unit
Spin magnetization: 0.00 μB/cell
Space-group type: No. 63
Uncorrected formation energy: -2.14 eV per atom

a b c (Å): 5.3825 8.3617 14.4072
angles (deg): 90.00 90.00 108.78
Closest atoms and distances in Å follow each position.
Fractional coordinates of all 16 atoms:
Cl (0.0443, 0.0887, 0.1252)  1 Ho 2.58
Cl (0.7255, 0.4510, 0.8870)  1 Ho 2.66
Cl (0.7255, 0.4510, 0.6130)  1 Ho 2.66
K (0.1428, 0.2857, 0.9370)  5 Cl 3.08-3.28
Cl (0.2745, 0.5490, 0.3870)  1 Ho 2.66
Cl (0.2745, 0.5490, 0.1130)  1 Ho 2.66
Cl (0.3172, 0.6344, 0.7500)  2 Ho 2.71
Cl (0.0443, 0.0887, 0.3748)  1 Ho 2.58
Cl (0.9557, 0.9113, 0.8748)  1 Ho 2.58
K (0.8572, 0.7143, 0.4370)  5 Cl 3.08-3.28
K (0.8572, 0.7143, 0.0630)  5 Cl 3.08-3.28
K (0.1428, 0.2857, 0.5630)  5 Cl 3.08-3.28
Cl (0.6828, 0.3656, 0.2500)  2 Ho 2.71
Ho (0.8384, 0.6768, 0.7500)  6 Cl 2.58-2.71
Ho (0.1616, 0.3232, 0.2500)  6 Cl 2.58-2.71
Cl (0.9557, 0.9113, 0.6252)  1 Ho 2.58



8.
A geometry-optimized KHo2Cl7 structure, computed with GGA-PBE.

Total DFT energy (no corrections): -45.19 eV per formula unit
Spin magnetization: 0.00 μB/cell
Space-group type: No. 65
Uncorrected formation energy: -2.20 eV per atom

a b c (Å): 5.2594 8.0129 8.0129
angles (deg): 116.25 90.00 90.00
Closest atoms and distances in Å follow each position.
Fractional coordinates of all 10 atoms:
Cl (0.0000, 0.7055, 0.2945)  2 Ho 2.63
Ho (0.5000, 0.6969, 0.3031)  7 Cl 2.63-2.75
Cl (0.5000, 0.5000, 0.5000)  2 Ho 2.68
Cl (0.5000, 0.3274, 0.0482)  2 Ho 2.73-2.75
Cl (0.5000, 0.0482, 0.3274)  2 Ho 2.73-2.75
Ho (0.5000, 0.3031, 0.6969)  7 Cl 2.63-2.75
Cl (0.5000, 0.9518, 0.6726)  2 Ho 2.73-2.75
Cl (0.5000, 0.6726, 0.9518)  2 Ho 2.73-2.75
Cl (0.0000, 0.2945, 0.7055)  2 Ho 2.63
K (0.0000, 0.0000, 0.0000)  10 Cl 3.61-4.01



9.
A geometry-optimized KHoCl4 structure, computed with GGA-PBE.

Total DFT energy (no corrections): -26.29 eV per formula unit
Spin magnetization: 0.00 μB/cell
Space-group type: No. 15
Uncorrected formation energy: -2.20 eV per atom

a b c (Å): 6.8318 8.1993 9.5849
angles (deg): 105.89 99.88 115.60
Closest atoms and distances in Å follow each position.
Fractional coordinates of all 12 atoms:
Cl (0.8052, 0.0585, 0.6606)  1 Ho 2.56
K (0.4297, 0.6797, 0.3594)  6 Cl 3.20-3.26
Ho (0.6826, 0.9326, 0.8652)  6 Cl 2.56-2.73
Cl (0.1948, 0.9415, 0.3394)  1 Ho 2.56
Cl (0.3554, 0.6021, 0.6606)  1 Ho 2.56
K (0.5703, 0.3203, 0.6406)  6 Cl 3.20-3.26
Cl (0.6446, 0.3979, 0.3394)  1 Ho 2.56
Cl (0.9278, 0.7595, 0.9059)  2 Ho 2.67-2.73
Cl (0.5220, 0.8537, 0.0941)  2 Ho 2.67-2.73
Cl (0.0722, 0.2405, 0.0941)  2 Ho 2.67-2.73
Cl (0.4780, 0.1463, 0.9059)  2 Ho 2.67-2.73
Ho (0.3174, 0.0674, 0.1348)  6 Cl 2.56-2.73



10.
A geometry-optimized KHoCl4 structure, computed with GGA-PBE.

Total DFT energy (no corrections): -26.21 eV per formula unit
Spin magnetization: 0.00 μB/cell
Space-group type: No. 15
Uncorrected formation energy: -2.19 eV per atom

a b c (Å): 6.6963 7.8095 8.9954
angles (deg): 112.80 108.54 97.18
Closest atoms and distances in Å follow each position.
Fractional coordinates of all 12 atoms:
K (0.4075, 0.6575, 0.3150)  6 Cl 3.10-3.40
Cl (0.2740, 0.9630, 0.6035)  1 Ho 2.54
Cl (0.1705, 0.3595, 0.3965)  1 Ho 2.54
Cl (0.9338, 0.1644, 0.9171)  2 Ho 2.66-2.79
Cl (0.7260, 0.0370, 0.3965)  1 Ho 2.54
Cl (0.4834, 0.7528, 0.9171)  2 Ho 2.66-2.79
Ho (0.1682, 0.9182, 0.8364)  6 Cl 2.54-2.79
Cl (0.8295, 0.6405, 0.6035)  1 Ho 2.54
Cl (0.0662, 0.8356, 0.0829)  2 Ho 2.66-2.79
Cl (0.5166, 0.2472, 0.0829)  2 Ho 2.66-2.79
K (0.5925, 0.3425, 0.6850)  6 Cl 3.10-3.40
Ho (0.8318, 0.0818, 0.1636)  6 Cl 2.54-2.79



11.
A geometry-optimized K2HoCl6 structure, computed with GGA-PBE.

Total DFT energy (no corrections): -33.85 eV per formula unit
Spin magnetization: 1.11 μB/cell
Space-group type: No. 38
Uncorrected formation energy: -1.78 eV per atom

a b c (Å): 4.2761 8.0703 8.0804
angles (deg): 119.96 90.00 90.00
Closest atoms and distances in Å follow each position.
Fractional coordinates of all 9 atoms:
Cl (0.5000, 0.9997, 0.6514)  1 Ho 2.81
Cl (0.5000, 0.3483, 0.3486)  1 Ho 2.81
Cl (0.0000, 0.9998, 0.2329)  2 Ho 2.85, 2 K 3.18
K (0.0000, 0.6666, 0.3338)  9 Cl 3.17-3.40
Cl (0.0000, 0.7669, 0.7671)  2 Ho 2.85, 2 K 3.18
Ho (0.5000, 0.0004, 0.0000)  9 Cl 2.81-2.85
Cl (0.5000, 0.6520, 0.0000)  1 Ho 2.81
Cl (0.0000, 0.2337, 0.0000)  2 Ho 2.85, 2 K 3.17
K (0.0000, 0.3328, 0.6662)  9 Cl 3.17-3.40



12.
A geometry-optimized K3Ho2Cl9 structure, computed with GGA-PBE.

Total DFT energy (no corrections): -59.07 eV per formula unit
Spin magnetization: 0.00 μB/cell
Space-group type: No. 167
Uncorrected formation energy: -2.14 eV per atom

a b c (Å): 9.6149 9.6149 9.6149
angles (deg): 84.75 84.75 84.75
Closest atoms and distances in Å follow each position.
Fractional coordinates of all 28 atoms:
Cl (0.9031, 0.7500, 0.5969)  2 Ho 2.74
Ho (0.6458, 0.6458, 0.6458)  6 Cl 2.55-2.74
K (0.0627, 0.4373, 0.7500)  8 Cl 3.45-3.79
Cl (0.9206, 0.2755, 0.0642)  1 Ho 2.55
Cl (0.5794, 0.4358, 0.2245)  1 Ho 2.55
Cl (0.7245, 0.9358, 0.0794)  1 Ho 2.55
Cl (0.9358, 0.0794, 0.7245)  1 Ho 2.55
K (0.7500, 0.0627, 0.4373)  8 Cl 3.45-3.79
Cl (0.2755, 0.0642, 0.9206)  1 Ho 2.55
Cl (0.4206, 0.5642, 0.7755)  1 Ho 2.55
K (0.2500, 0.9373, 0.5627)  8 Cl 3.45-3.79
Ho (0.1458, 0.1458, 0.1458)  6 Cl 2.55-2.74
Cl (0.4358, 0.2245, 0.5794)  1 Ho 2.55
Cl (0.5969, 0.9031, 0.7500)  2 Ho 2.74
Cl (0.7755, 0.4206, 0.5642)  1 Ho 2.55
Cl (0.5642, 0.7755, 0.4206)  1 Ho 2.55
Cl (0.2245, 0.5794, 0.4358)  1 Ho 2.55
Cl (0.0969, 0.2500, 0.4031)  2 Ho 2.74
K (0.9373, 0.5627, 0.2500)  8 Cl 3.45-3.79
Ho (0.8542, 0.8542, 0.8542)  6 Cl 2.55-2.74
K (0.4373, 0.7500, 0.0627)  8 Cl 3.45-3.79
Cl (0.0794, 0.7245, 0.9358)  1 Ho 2.55
K (0.5627, 0.2500, 0.9373)  8 Cl 3.45-3.79
Cl (0.2500, 0.4031, 0.0969)  2 Ho 2.74
Cl (0.0642, 0.9206, 0.2755)  1 Ho 2.55
Cl (0.4031, 0.0969, 0.2500)  2 Ho 2.74
Ho (0.3542, 0.3542, 0.3542)  6 Cl 2.55-2.74
Cl (0.7500, 0.5969, 0.9031)  2 Ho 2.74